Material: NdAgBiTe3
Method: DFT, PBE
State: optimized geometry

a = 4.2779 Å, b = 8.7431 Å, c = 10.4476 Å
α = 104.13°, β = 90.00°, γ = 90.00°
Atoms (fractional coordinates):
Te: 0.2500 0.7447 0.5256
Te: 0.2500 0.5871 0.8522
Te: 0.7500 0.2553 0.4744
Te: 0.2500 0.0892 0.9029
Te: 0.7500 0.4129 0.1478
Te: 0.7500 0.9108 0.0971
Nd: 0.2500 0.1809 0.2425
Nd: 0.7500 0.8191 0.7575
Ag: 0.2500 0.0868 0.5866
Ag: 0.7500 0.9132 0.4134
Bi: 0.7500 0.3114 0.8201
Bi: 0.2500 0.6886 0.1799

Crystal system: monoclinic
Space group: No. 11
Uncorrected formation energy: -0.5564 eV per atom
Calculated total energy: -48.527 eV/cell
V: 379 Å³ per cell
Density of states at the Fermi level: 2.46 states/eV/f.u.



Material: TlCd2Sn2
Method: DFT, PBE
State: optimized geometry

a = 9.0836 Å, b = 9.0836 Å, c = 3.3257 Å
α = 90.00°, β = 90.00°, γ = 90.00°
Atoms (fractional coordinates):
Sn: 0.6478 0.1478 0.0000
Sn: 0.3522 0.8522 0.0000
Sn: 0.1478 0.3522 0.0000
Sn: 0.8522 0.6478 0.0000
Tl: 0.0000 0.0000 0.0000
Tl: 0.5000 0.5000 0.0000
Cd: 0.8508 0.3508 0.5000
Cd: 0.1492 0.6492 0.5000
Cd: 0.3508 0.1492 0.5000
Cd: 0.6492 0.8508 0.5000

Crystal system: tetragonal
Space group: No. 127
Calculated total energy: -23.726 eV/cell
V: 274 Å³ per cell
Energy above the most stable polymorph in this dataset: 27.4 meV/atom
Density of states at the Fermi level: 1.80 states/eV/f.u.



Material: BiPdAu
Method: DFT, PBE
State: optimized geometry

a = 6.7692 Å, b = 6.7692 Å, c = 7.9537 Å
α = 101.02°, β = 101.02°, γ = 123.43°
Atoms (fractional coordinates):
Au: 0.3446 0.8446 0.6893
Au: 0.1554 0.6554 0.3107
Au: 0.0946 0.0946 0.1893
Au: 0.9054 0.9054 0.8107
Pd: 0.2093 0.7907 0.0000
Pd: 0.7907 0.2093 0.0000
Pd: 0.0407 0.9593 0.5000
Pd: 0.4593 0.5407 0.5000
Bi: 0.6250 0.8750 0.2500
Bi: 0.6250 0.3750 0.7500
Bi: 0.6250 0.3750 0.2500
Bi: 0.1250 0.3750 0.7500

Crystal system: orthorhombic
Space group: No. 70
Calculated total energy: -48.997 eV/cell
V: 278 Å³ per cell
Energy above the most stable polymorph in this dataset: 216.4 meV/atom
Density of states at the Fermi level: 1.57 states/eV/f.u.



Material: PrLuCo
Method: DFT, PBE
State: optimized geometry

a = 6.1359 Å, b = 3.9317 Å, c = 3.9317 Å
α = 120.00°, β = 90.00°, γ = 90.00°
Atoms (fractional coordinates):
Co: 0.0106 0.0000 0.0000
Lu: 0.2284 0.3333 0.6667
Pr: 0.7610 0.6667 0.3333

Crystal system: trigonal
Space group: No. 156
Calculated total energy: -16.427 eV/cell
V: 82 Å³ per cell
Energy above the most stable polymorph in this dataset: 50.6 meV/atom
Density of states at the Fermi level: 2.69 states/eV/f.u.



Material: Pr3Tm4Tl
Method: DFT, PBE
State: optimized geometry

a = 6.2396 Å, b = 7.1200 Å, c = 11.2819 Å
α = 90.00°, β = 90.00°, γ = 90.00°
Atoms (fractional coordinates):
Tl: 0.1560 0.3514 0.0000
Tl: 0.6560 0.6486 0.5000
Pr: 0.9764 0.6168 0.7659
Pr: 0.4764 0.3832 0.2659
Pr: 0.1207 0.3708 0.5000
Pr: 0.9764 0.6168 0.2341
Pr: 0.6207 0.6292 0.0000
Pr: 0.4764 0.3832 0.7341
Tm: 0.4856 0.8795 0.7416
Tm: 0.6491 0.1263 0.0000
Tm: 0.4856 0.8795 0.2584
Tm: 0.1654 0.8883 0.0000
Tm: 0.9856 0.1205 0.7584
Tm: 0.6654 0.1117 0.5000
Tm: 0.1491 0.8737 0.5000
Tm: 0.9856 0.1205 0.2416

Crystal system: orthorhombic
Space group: No. 31
Calculated total energy: -70.391 eV/cell
V: 501 Å³ per cell
Density of states at the Fermi level: 8.10 states/eV/f.u.



Material: CeBeGe
Method: DFT, PBE
State: optimized geometry

a = 3.9489 Å, b = 3.9489 Å, c = 12.7165 Å
α = 90.00°, β = 90.00°, γ = 120.00°
Site moments in Bohr magnetons follow the coordinates.
Atoms (fractional coordinates):
Be: 0.1615 0.3229 0.5000  0.00
Be: 0.8280 0.6559 0.1664  0.00
Be: 0.8280 0.6559 0.8336  0.00
Ge: 0.8281 0.6561 0.5000  -0.01
Ge: 0.1613 0.3226 0.1673  -0.01
Ge: 0.1613 0.3226 0.8327  -0.01
Ce: 0.4947 0.9894 0.3333  0.52
Ce: 0.4947 0.9894 0.6667  0.52
Ce: 0.4947 0.9894 0.0000  0.56

Crystal system: hexagonal
Space group: No. 187
Calculated total energy: -47.909 eV/cell
V: 172 Å³ per cell
Density of states at the Fermi level: 4.97 states/eV/f.u.